(1)
LiRu2W: relaxed, PBEsol.

The formation energy is -0.0011 eV per atom. The spin magnetization comes out at 0.0 μB/cell. The energy above the most stable polymorph in this dataset comes out at 0 meV per atom.

Cell lengths 5.975, 5.975, 5.975 Å; angles 90.00, 90.00, 90.00 degrees
Space group Fm-3m (No. 225)
One atom of each set of equivalent atoms:
Li: 0.000 0.000 0.000 [4 per cell]
Ru: 0.250 0.250 0.250 [8 per cell]
W: 0.000 0.000 0.500 [4 per cell]


(2)
Cs2AsBr: relaxed, PBEsol.

The spin magnetization comes out at 8.0 μB/cell. The uncorrected energy comes out at -0.201 Ry per atom.

Cell lengths 9.415, 9.415, 9.163 Å; angles 90.00, 90.00, 90.00 degrees
Space group I-42d (No. 122)
One atom of each set of equivalent atoms:
Cs: 0.235 0.250 0.125 [8 per cell]
As: 0.000 0.000 0.500 [4 per cell]
Br: 0.000 0.000 0.000 [4 per cell]


(3)
Mg2ScIn: relaxed, PBEsol.

The formation energy is -0.2816 eV per atom. The spin magnetization comes out at 0.0 μB/cell.

Cell lengths 4.326, 4.326, 4.596 Å; angles 90.00, 90.00, 90.00 degrees
Space group P4/mmm (No. 123)
One atom of each set of equivalent atoms:
Mg: 0.000 0.500 0.000 [2 per cell]
Sc: 0.000 0.000 0.500 [1 per cell]
In: 0.500 0.500 0.500 [1 per cell]


(4)
La2TlOsI: relaxed, PBEsol.

The spin magnetization comes out at 1.6 μB/cell. The uncorrected energy comes out at -0.306 Ry per atom.

Cell lengths 5.767, 5.767, 5.562 Å; angles 90.00, 90.00, 90.00 degrees
Space group P4/mmm (No. 123)
One atom of each set of equivalent atoms:
La: 0.000 0.500 0.000 [2 per cell]
Tl: 0.000 0.000 0.500 [1 per cell]
Os: 0.500 0.500 0.500 [1 per cell]
I: 0.000 0.000 0.000 [1 per cell]


(5)
Eu2TlHg: relaxed, PBEsol.

The formation energy is -0.5508 eV per atom. The spin magnetization comes out at 56.2 μB/cell.

Cell lengths 7.671, 7.671, 7.671 Å; angles 90.00, 90.00, 90.00 degrees
Space group Fm-3m (No. 225)
One atom of each set of equivalent atoms:
Eu: 0.250 0.250 0.250 [8 per cell]
Tl: 0.000 0.000 0.000 [4 per cell]
Hg: 0.000 0.000 0.500 [4 per cell]


(6)
In2BrO: relaxed, PBEsol.

The spin magnetization comes out at 0.1 μB/cell. The uncorrected energy comes out at -0.247 Ry per atom.

Cell lengths 6.897, 6.897, 6.897 Å; angles 90.00, 90.00, 90.00 degrees
Space group Fm-3m (No. 225)
One atom of each set of equivalent atoms:
In: 0.250 0.250 0.250 [8 per cell]
Br: 0.000 0.000 0.000 [4 per cell]
O: 0.000 0.000 0.500 [4 per cell]